Entry 1:
Entry from Alexandria via LeMat-Bulk: crystalline Co3SeN at its relaxed geometry (PBE).

The structure belongs to space group Pm-3m (No. 221); the cell edges are 4.428, 4.428 and 4.428 Å and the angles 90.00°, 90.00° and 90.00°. The asymmetric unit holds Co at (0.000, 0.000, 0.500), Se at (0.000, 0.000, 0.000) and N at (0.500, 0.500, 0.500).

The crystal system is cubic. The formation energy without anion corrections is 1.70 eV/atom. The total energy comes out at -24.61 eV per cell. The value obtained for the excess energy over the best structure of this formula in the dataset is 7.64 eV/f.u. The calculation puts the calculated volume at 17.4 A^3/atom. The density of states at the Fermi level is 1.04 states/eV/atom.

Entry 2:
Entry from Alexandria via LeMat-Bulk: crystalline Co3SeN at its relaxed geometry (PBE).

The structure belongs to space group Pm-3m (No. 221); the cell edges are 3.836, 3.836 and 3.836 Å and the angles 90.00°, 90.00° and 90.00°. The asymmetric unit holds Co at (0.000, 0.000, 0.500), Se at (0.500, 0.500, 0.500) and N at (0.000, 0.000, 0.000).

The crystal system is cubic. The formation energy without anion corrections is 0.18 eV/atom. The total energy comes out at -32.24 eV per cell. The value obtained for the excess energy over the best structure of this formula in the dataset is 0.00 eV/f.u. The calculation puts the calculated volume at 11.3 A^3/atom. The density of states at the Fermi level is 1.21 states/eV/atom.

Entry 3:
Entry from Alexandria via LeMat-Bulk: crystalline CoSiSe2N at its relaxed geometry (PBE).

The structure belongs to space group P4/mmm (No. 123); the cell edges are 5.082, 5.082 and 3.241 Å and the angles 90.00°, 90.00° and 90.00°. The asymmetric unit holds Co at (0.000, 0.000, 0.000), Si at (0.500, 0.500, 0.500), Se at (0.000, 0.500, 0.500) and N at (0.500, 0.500, 0.000).

The crystal system is tetragonal. The formation energy without anion corrections is 0.53 eV/atom. The total energy comes out at -25.20 eV per cell. The value obtained for the excess energy over the best structure of this formula in the dataset is 0.25 eV/f.u. The calculation puts the calculated volume at 16.7 A^3/atom. The density of states at the Fermi level is 0.88 states/eV/atom.

Entry 4:
Entry from Alexandria via LeMat-Bulk: crystalline CoSiSeN2 at its relaxed geometry (PBE).

The structure belongs to space group P4/mmm (No. 123); the cell edges are 3.412, 3.412 and 6.645 Å and the angles 90.00°, 90.00° and 90.00°. The asymmetric unit holds Co at (0.000, 0.000, 0.000), Si at (0.500, 0.500, 0.500), Se at (0.500, 0.500, 0.000) and N at (0.000, 0.500, 0.500).

The crystal system is tetragonal. The formation energy without anion corrections is 0.61 eV/atom. The total energy comes out at -29.59 eV per cell. The value obtained for the excess energy over the best structure of this formula in the dataset is 0.00 eV/f.u. The calculation puts the calculated volume at 15.5 A^3/atom. The density of states at the Fermi level is 0.80 states/eV/atom.

Entry 5:
Entry from Alexandria via LeMat-Bulk: crystalline CoSiSe2N at its relaxed geometry (PBE).

The structure belongs to space group P4/mmm (No. 123); the cell edges are 4.931, 4.931 and 3.384 Å and the angles 90.00°, 90.00° and 90.00°. The asymmetric unit holds Co at (0.000, 0.000, 0.000), Si at (0.500, 0.500, 0.500), Se at (0.000, 0.500, 0.000) and N at (0.000, 0.000, 0.500).

The crystal system is tetragonal. The formation energy without anion corrections is 0.47 eV/atom. The total energy comes out at -25.45 eV per cell. The value obtained for the excess energy over the best structure of this formula in the dataset is 0.00 eV/f.u. The calculation puts the calculated volume at 16.5 A^3/atom. The density of states at the Fermi level is 0.56 states/eV/atom.

Entry 6:
Entry from Alexandria via LeMat-Bulk: crystalline CoSiSeN2 at its relaxed geometry (PBE).

The structure belongs to space group P4/mmm (No. 123); the cell edges are 3.650, 3.650 and 5.065 Å and the angles 90.00°, 90.00° and 90.00°. The asymmetric unit holds Co at (0.000, 0.000, 0.000), Si at (0.500, 0.500, 0.500), Se at (0.000, 0.000, 0.500) and N at (0.000, 0.500, 0.000).

The crystal system is tetragonal. The formation energy without anion corrections is 1.10 eV/atom. The total energy comes out at -27.18 eV per cell. The value obtained for the excess energy over the best structure of this formula in the dataset is 2.41 eV/f.u. The calculation puts the calculated volume at 13.5 A^3/atom. The density of states at the Fermi level is 0.92 states/eV/atom.